1.
VASP calculation (PBE) on a relaxed Hf2Zn4Se crystal.

The structure in POSCAR format:
```
Hf2Zn4Se
1.0
-1.3866 4.7207 -0.4127
-4.7320 -1.3565 0.3826
-2.7141 2.3700 6.6927
Zn Hf Se
4 2 1
direct
0.8108 0.8108 0.3785
0.1892 0.1892 0.6215
0.0000 0.5000 0.0000
0.5000 0.0000 0.0000
0.6064 0.6064 0.7872
0.3936 0.3936 0.2128
0.0000 0.0000 0.0000
```

Calculated values
Theoretical density: 7.0 g/cm³
SG: No. 139



2.
VASP calculation (PBE) on a relaxed SrNpCoS4 crystal.

The structure in POSCAR format:
```
SrNpCoS4
1.0
-2.0979 1.5080 6.0362
-5.0397 -2.4003 -1.1519
3.4049 -7.4082 0.5402
Sr Np Co S
2 2 2 8
direct
0.7350 0.7500 0.9381
0.2650 0.2500 0.0619
0.7431 0.7500 0.4439
0.2569 0.2500 0.5561
0.2334 0.7500 0.3280
0.7666 0.2500 0.6720
0.0174 0.5107 0.7295
0.9826 0.0107 0.2705
0.9826 0.4893 0.2705
0.0174 0.9893 0.7295
0.4346 0.7500 0.1475
0.5654 0.2500 0.8525
0.4243 0.7500 0.5918
0.5757 0.2500 0.4082
```

Calculated values
Theoretical density: 5.8 g/cm³
SG: No. 11



3.
VASP calculation (PBE) on a relaxed CsLiTl2S crystal.

The structure in POSCAR format:
```
CsLiTl2S
1.0
6.6268 0.0000 0.0000
0.0000 6.0147 0.0000
0.0000 0.0000 6.6268
Cs Tl S Li
1 2 1 1
direct
0.0000 0.0000 0.0000
0.0000 0.0000 0.5000
0.5000 0.0000 0.0000
0.0000 0.5000 0.0000
0.5000 0.5000 0.5000
```

Calculated values
Theoretical density: 3.7 g/cm³
SG: No. 123



The following magnetic moment values (in μB per formula unit) correspond, in order, to the records above: 0.00 1.19 0.00.
The following energy relative to the elements, uncorrected values (in eV per atom) correspond, in order, to the records above: 0.5898 -1.2169 0.5591.
The following raw total energy values (in eV/atom) correspond, in order, to the records above: -3.480 -6.680 -1.766.